Record 1
A plane-wave DFT calculation with PBE was carried out for a relaxed Ca2InGa crystal.

Calculated values
- raw total energy (eV per atom) = -2.495
- E_form (meV per atom) = -53

Unit cell a=3.6915 b=3.6915 c=11.1391 alpha=80.46 beta=80.46 gamma=60.00
With the nearest neighbours (Å) after each atom.
Atoms (fractional coordinates):
Ca 0.0992 0.0992 0.7025  3 Ga 3.07, 1 In 3.25
Ca 0.9008 0.9008 0.2975  3 Ga 3.07, 1 In 3.25
Ga 0.5000 0.5000 0.5000  6 Ca 3.07
In 0.0000 0.0000 0.0000  2 Ca 3.25

Record 2
A plane-wave DFT calculation with PBE was carried out for a relaxed CaInGa crystal.

Calculated values
- raw total energy (eV per atom) = -2.889
- E_form (meV per atom) = -300

Unit cell a=3.5846 b=3.5846 c=6.3972 alpha=106.27 beta=106.27 gamma=90.00
With the nearest neighbours (Å) after each atom.
Atoms (fractional coordinates):
Ga 0.2949 0.2949 0.5898  4 In 3.00, 4 Ca 3.23
Ca 0.6240 0.6240 0.2480  4 Ga 3.23, 5 In 3.40-3.61, 4 Ca 3.58
In 0.9311 0.9311 0.8622  4 Ga 3.00

Record 3
A plane-wave DFT calculation with PBE was carried out for a relaxed Ca4In2Ga crystal.

Calculated values
- raw total energy (eV per atom) = -2.710
- offset from the most stable computed form (meV per atom) = 0.0
- E_form (meV per atom) = -351

Unit cell a=5.3485 b=5.3485 c=9.3533 alpha=73.39 beta=73.39 gamma=60.00
With the nearest neighbours (Å) after each atom.
Atoms (fractional coordinates):
In 0.2511 0.2511 0.2466  8 Ca 3.26-3.36
In 0.7489 0.7489 0.7534  8 Ca 3.26-3.36
Ga 0.0000 0.0000 0.0000  8 Ca 3.27-3.29
Ca 0.1243 0.1243 0.6270  4 In 3.28-3.36, 1 Ga 3.29
Ca 0.6257 0.6257 0.1228  4 In 3.26-3.28, 3 Ga 3.27
Ca 0.3743 0.3743 0.8772  4 In 3.26-3.28, 3 Ga 3.27
Ca 0.8757 0.8757 0.3730  4 In 3.28-3.36, 1 Ga 3.29

Record 4
A plane-wave DFT calculation with PBE was carried out for a relaxed Ca3InGa crystal.

Calculated values
- raw total energy (eV per atom) = -2.427
- offset from the most stable computed form (meV per atom) = 298.9
- E_form (meV per atom) = -73

Unit cell a=5.7116 b=5.7116 c=5.7116 alpha=90.00 beta=90.00 gamma=90.00
With the nearest neighbours (Å) after each atom.
Atoms (fractional coordinates):
In 0.5000 0.5000 0.5000  12 Ca 4.04
Ca 0.0000 0.0000 0.5000  2 Ga 2.86
Ca 0.5000 0.0000 0.0000  2 Ga 2.86
Ca 0.0000 0.5000 0.0000  2 Ga 2.86
Ga 0.0000 0.0000 0.0000  6 Ca 2.86

Record 5
A plane-wave DFT calculation with PBE was carried out for a relaxed CaInGa3 crystal.

Calculated values
- raw total energy (eV per atom) = -3.023
- offset from the most stable computed form (meV per atom) = 0.0
- E_form (meV per atom) = -259

Unit cell a=6.1746 b=6.2973 c=5.8940 alpha=90.00 beta=89.98 gamma=90.00
With the nearest neighbours (Å) after each atom.
Atoms (fractional coordinates):
In 0.6226 0.5766 0.2003  5 Ga 2.68-2.87
In 0.1224 0.7763 0.7003  5 Ga 2.68-2.87
Ca 0.4724 0.4133 0.7004  5 Ga 3.00-3.32, 3 In 3.15-3.26
Ca 0.9726 0.9396 0.2004  5 Ga 3.00-3.32, 3 In 3.15-3.26
Ga 0.9818 0.4106 0.9489  4 Ga 2.71-2.97, 2 In 2.86
Ga 0.4817 0.9420 0.4489  4 Ga 2.71-2.97, 2 In 2.86
Ga 0.9812 0.4104 0.4530  4 Ga 2.71-2.97, 2 In 2.86-2.87
Ga 0.8201 0.0812 0.7012  1 In 2.68, 4 Ga 2.71-2.73, 1 Ca 3.00
Ga 0.4811 0.9423 0.9530  4 Ga 2.71-2.97, 2 In 2.86-2.87
Ga 0.3203 0.2717 0.2011  1 In 2.68, 4 Ga 2.71-2.73, 1 Ca 3.00

Record 6
A plane-wave DFT calculation with PBE was carried out for a relaxed Ca3In9Ga2 crystal.

Calculated values
- raw total energy (eV per atom) = -2.870
- E_form (meV per atom) = -248

Unit cell a=5.2184 b=8.8639 c=8.8639 alpha=74.82 beta=72.88 gamma=72.88
With the nearest neighbours (Å) after each atom.
Atoms (fractional coordinates):
In 0.8565 0.4191 0.8680  4 In 3.01-3.06, 2 Ga 3.31
In 0.0000 0.5000 0.5000  4 In 3.06, 4 Ga 3.08
In 0.3641 0.2719 0.9999  1 Ga 2.89, 4 In 2.93-3.04
In 0.6359 0.0001 0.7281  1 Ga 2.89, 4 In 2.93-3.04
In 0.1435 0.5809 0.1320  4 In 3.01-3.06, 2 Ga 3.31
In 0.3641 0.9999 0.2719  1 Ga 2.89, 4 In 2.93-3.04
In 0.6359 0.7281 0.0001  1 Ga 2.89, 4 In 2.93-3.04
In 0.8565 0.8680 0.4191  4 In 3.01-3.06, 2 Ga 3.31
In 0.1435 0.1320 0.5809  4 In 3.01-3.06, 2 Ga 3.31
Ga 0.5000 0.3478 0.6522  4 In 2.89-3.08, 2 Ca 3.17
Ga 0.5000 0.6522 0.3478  4 In 2.89-3.08, 2 Ca 3.17
Ca 0.2927 0.7073 0.7073  2 Ga 3.17
Ca 0.0000 0.0000 0.0000  12 In 3.48-3.51, 2 Ca 3.83
Ca 0.7073 0.2927 0.2927  2 Ga 3.17

Record 7
A plane-wave DFT calculation with PBE was carried out for a relaxed Ca2InGa crystal.

Calculated values
- raw total energy (eV per atom) = -2.196
- E_form (meV per atom) = 246

Unit cell a=7.2250 b=7.2250 c=7.2250 alpha=58.63 beta=151.35 gamma=130.02
With the nearest neighbours (Å) after each atom.
Atoms (fractional coordinates):
Ca 0.0000 0.7618 0.7618  1 Ga 3.00, 1 In 3.30
Ca 0.0000 0.2382 0.2382  1 Ga 3.00, 1 In 3.30
In 0.0000 0.5000 0.5000  2 Ca 3.30, 4 Ga 3.54, 2 In 3.57
Ga 0.0000 0.0000 0.0000  2 Ca 3.00

Record 8
A plane-wave DFT calculation with PBE was carried out for a relaxed Ca6InGa crystal.

Calculated values
- raw total energy (eV per atom) = -2.453
- E_form (meV per atom) = -231

Unit cell a=5.4022 b=5.4022 c=10.1674 alpha=74.59 beta=74.59 gamma=90.00
With the nearest neighbours (Å) after each atom.
Atoms (fractional coordinates):
Ga 0.0000 0.0000 0.0000  8 Ca 3.27
In 0.5000 0.5000 0.0000  8 Ca 3.27
Ca 0.5974 0.0975 0.8051  2 Ga 3.27, 2 In 3.27
Ca 0.9025 0.4025 0.1949  2 In 3.27, 2 Ga 3.27
Ca 0.4026 0.9025 0.1949  2 Ga 3.27, 2 In 3.27
Ca 0.7494 0.7494 0.5012  12 Ca 3.82-3.95
Ca 0.2506 0.2506 0.4988  12 Ca 3.82-3.95
Ca 0.0975 0.5975 0.8051  2 In 3.27, 2 Ga 3.27

Record 9
A plane-wave DFT calculation with PBE was carried out for a relaxed Ca3InGa2 crystal.

Calculated values
- raw total energy (eV per atom) = -2.910
- E_form (meV per atom) = -444

Unit cell a=3.7293 b=3.7293 c=11.2492 alpha=90.00 beta=90.00 gamma=90.00
With the nearest neighbours (Å) after each atom.
Atoms (fractional coordinates):
Ca 0.0000 0.0000 0.6818  4 Ga 3.19, 4 In 3.34
Ca 0.0000 0.0000 0.3182  4 Ga 3.19, 4 In 3.34
Ca 0.0000 0.0000 0.0000  8 Ga 3.18
Ga 0.5000 0.5000 0.8415  8 Ca 3.18-3.19
Ga 0.5000 0.5000 0.1585  8 Ca 3.18-3.19
In 0.5000 0.5000 0.5000  8 Ca 3.34, 4 In 3.73

Record 10
A plane-wave DFT calculation with PBE was carried out for a relaxed Ca2InGa crystal.

Calculated values
- raw total energy (eV per atom) = -2.888
- E_form (meV per atom) = -446

Unit cell a=3.7175 b=3.7175 c=7.7404 alpha=90.00 beta=90.00 gamma=90.00
With the nearest neighbours (Å) after each atom.
Atoms (fractional coordinates):
Ca 0.0000 0.0000 0.2337  4 Ga 3.19, 4 In 3.34
Ca 0.0000 0.0000 0.7663  4 Ga 3.19, 4 In 3.34
Ga 0.5000 0.5000 0.0000  8 Ca 3.19
In 0.5000 0.5000 0.5000  8 Ca 3.34, 4 In 3.72

Record 11
A plane-wave DFT calculation with PBE was carried out for a relaxed Ca7In2Ga crystal.

Calculated values
- raw total energy (eV per atom) = -2.539
- E_form (meV per atom) = -288

Unit cell a=8.2829 b=9.6352 c=10.6556 alpha=63.62 beta=67.13 gamma=64.54
With the nearest neighbours (Å) after each atom.
Atoms (fractional coordinates):
Ca 0.3946 0.7500 0.2500  1 Ga 3.23, 2 In 3.26
Ca 0.3070 0.4668 0.1382  1 Ga 3.14, 3 In 3.25-3.30, 2 Ca 3.46-3.47
Ca 0.9120 0.0332 0.3618  1 Ga 3.14, 3 In 3.25-3.30, 2 Ca 3.46-3.47
Ca 0.9160 0.4053 0.4076  2 Ga 3.25-3.49, 2 In 3.34-3.58, 1 Ca 3.46
Ca 0.0840 0.5947 0.5924  2 Ga 3.25-3.49, 2 In 3.34-3.58, 1 Ca 3.46
Ca 0.0880 0.9668 0.6382  1 Ga 3.14, 3 In 3.25-3.30, 2 Ca 3.46-3.47
Ca 0.7289 0.0947 0.0924  2 Ga 3.25-3.49, 2 In 3.34-3.58, 1 Ca 3.46
Ca 0.4032 0.2200 0.5026  1 Ga 3.37, 3 In 3.38-3.46, 3 Ca 3.72-3.77
Ca 0.6930 0.5332 0.8618  1 Ga 3.14, 3 In 3.25-3.30, 2 Ca 3.46-3.47
Ca 0.6054 0.2500 0.7500  1 Ga 3.23, 2 In 3.26
Ca 0.5968 0.7800 0.4974  1 Ga 3.37, 3 In 3.38-3.46, 3 Ca 3.72-3.77
Ca 0.1257 0.2800 0.9974  1 Ga 3.37, 3 In 3.38-3.46, 3 Ca 3.72-3.77
Ca 0.8743 0.7200 0.0026  1 Ga 3.37, 3 In 3.38-3.46, 3 Ca 3.72-3.77
Ca 0.2711 0.9053 0.9076  2 Ga 3.25-3.49, 2 In 3.34-3.58, 1 Ca 3.46
In 0.3061 0.5901 0.7974  9 Ca 3.25-3.58
In 0.3064 0.0901 0.2974  9 Ca 3.25-3.58
In 0.6936 0.9099 0.7026  9 Ca 3.25-3.58
In 0.6939 0.4099 0.2026  9 Ca 3.25-3.58
Ga 0.9958 0.2500 0.7500  9 Ca 3.14-3.49
Ga 0.0042 0.7500 0.2500  9 Ca 3.14-3.49

Record 12
A plane-wave DFT calculation with PBE was carried out for a relaxed Ca4In3Ga crystal.

Calculated values
- raw total energy (eV per atom) = -2.860
- E_form (meV per atom) = -454

Unit cell a=3.7817 b=3.7817 c=15.5037 alpha=90.00 beta=90.00 gamma=90.00
With the nearest neighbours (Å) after each atom.
Atoms (fractional coordinates):
Ca 0.0000 0.0000 0.8856  4 Ga 3.21, 4 In 3.34, 1 Ca 3.55
Ca 0.0000 0.0000 0.1144  4 Ga 3.21, 4 In 3.34, 1 Ca 3.55
Ca 0.0000 0.0000 0.3713  8 In 3.33-3.34
Ca 0.0000 0.0000 0.6287  8 In 3.33-3.34
In 0.5000 0.5000 0.2429  8 Ca 3.33-3.34
In 0.5000 0.5000 0.7571  8 Ca 3.33-3.34
In 0.5000 0.5000 0.5000  8 Ca 3.34
Ga 0.5000 0.5000 0.0000  8 Ca 3.21